First-principles (PBE-GGA) data for a relaxed structure of Pm3Hg13, as listed in Alexandria via LeMat-Bulk.

Computed properties:
Mass density   12.4 g cm⁻³
Total moment   0.000 μB per formula unit
Calculated formation energy   -0.267 eV per atom
SG   Amm2 (38)

Lattice parameters (Å, degrees): 10.196 6.693 6.693 63.36 90.00 90.00
Sites, in units of the cell vectors:
Pm: 0.000 0.000 0.000
Pm: 0.251 0.689 0.689
Pm: 0.749 0.689 0.689
Hg: 0.000 0.010 0.505
Hg: 0.000 0.505 0.010
Hg: 0.000 0.511 0.511
Hg: 0.241 0.182 0.182
Hg: 0.253 0.193 0.679
Hg: 0.253 0.679 0.193
Hg: 0.500 0.406 0.984
Hg: 0.500 0.484 0.484
Hg: 0.500 0.901 0.901
Hg: 0.500 0.984 0.406
Hg: 0.747 0.193 0.679
Hg: 0.747 0.679 0.193
Hg: 0.759 0.182 0.182

First-principles (PBE-GGA) data for a relaxed structure of Pm2Hg17, as listed in Alexandria via LeMat-Bulk.

Computed properties:
Mass density   11.8 g cm⁻³
Total moment   0.000 μB per formula unit
Calculated formation energy   -0.096 eV per atom
SG   R-3m (166)

Lattice parameters (Å, degrees): 9.371 9.371 9.371 55.61 55.61 55.61
Sites, in units of the cell vectors:
Pm: 0.237 0.237 0.237
Pm: 0.763 0.763 0.763
Hg: 0.000 0.500 0.500
Hg: 0.069 0.069 0.699
Hg: 0.069 0.699 0.069
Hg: 0.174 0.500 0.826
Hg: 0.174 0.826 0.500
Hg: 0.301 0.931 0.931
Hg: 0.415 0.415 0.415
Hg: 0.500 0.000 0.500
Hg: 0.500 0.174 0.826
Hg: 0.500 0.500 0.000
Hg: 0.500 0.826 0.174
Hg: 0.585 0.585 0.585
Hg: 0.699 0.069 0.069
Hg: 0.826 0.174 0.500
Hg: 0.826 0.500 0.174
Hg: 0.931 0.301 0.931
Hg: 0.931 0.931 0.301

First-principles (PBE-GGA) data for a relaxed structure of Pm2Hg, as listed in Alexandria via LeMat-Bulk.

Computed properties:
Mass density   9.0 g cm⁻³
Total moment   0.000 μB per formula unit
Calculated formation energy   -0.334 eV per atom
Excess energy over the best structure of this formula in the dataset   0.0 meV/atom
SG   Pnma (62)

Lattice parameters (Å, degrees): 7.200 5.252 9.554 90.00 90.00 90.00
Sites, in units of the cell vectors:
Pm: 0.014 0.250 0.194
Pm: 0.172 0.250 0.576
Pm: 0.328 0.750 0.076
Pm: 0.486 0.750 0.694
Pm: 0.514 0.250 0.306
Pm: 0.672 0.250 0.924
Pm: 0.828 0.750 0.424
Pm: 0.986 0.750 0.806
Hg: 0.235 0.250 0.899
Hg: 0.265 0.750 0.399
Hg: 0.735 0.250 0.601
Hg: 0.765 0.750 0.101

First-principles (PBE-GGA) data for a relaxed structure of Pm2Hg, as listed in Alexandria via LeMat-Bulk.

Computed properties:
Mass density   9.0 g cm⁻³
Total moment   0.273 μB per formula unit
Calculated formation energy   -0.306 eV per atom
Excess energy over the best structure of this formula in the dataset   28.0 meV/atom
SG   I4/mmm (139)

Lattice parameters (Å, degrees): 6.991 6.991 6.991 149.01 149.01 44.39
Sites, in units of the cell vectors:
Pm: 0.153 0.153 0.000
Pm: 0.847 0.847 0.000
Hg: 0.500 0.500 0.000